1.
# Tm6HgP3S2 | Alexandria via LeMat-Bulk | PBE | optimized geometry
# formation energy from raw total energies	-1.52	eV per atom
# M_tot	0.0	μB per cell
data_Tm6HgP3S2
_chemical_formula_sum 'Tm12 Hg2 P6 S4'
_cell_length_a 17.2066
_cell_length_b 3.9262
_cell_length_c 8.0107
_cell_angle_alpha 90.00
_cell_angle_beta 102.25
_cell_angle_gamma 90.00
_symmetry_space_group_name_H-M 'C 1 2/m 1'
_symmetry_Int_Tables_number 12
_symmetry_space_group_name_Hall '-C 2y'
loop_
_atom_site_label
_atom_site_type_symbol
_atom_site_fract_x
_atom_site_fract_y
_atom_site_fract_z
_atom_site_occupancy
Tm1 Tm 0.0027 0.0000 0.2723 1
Tm2 Tm 0.1653 0.5000 0.5924 1
Tm3 Tm 0.1748 0.5000 0.0892 1
Hg1 Hg 0.0000 0.5000 0.0000 1
P1 P 0.0000 0.5000 0.5000 1
P2 P 0.1652 0.0000 0.8356 1
S1 S 0.1704 0.0000 0.3426 1

***

2.
# Cs2TeH10O9 | Alexandria via LeMat-Bulk | PBE | optimized geometry
# M_tot	0.2	μB per cell
# raw total energy	-4.94	eV/atom
data_Cs2TeH10O9
_chemical_formula_sum 'Cs4 Te2 H20 O18'
_cell_length_a 6.9345
_cell_length_b 8.9683
_cell_length_c 9.5265
_cell_angle_alpha 95.62
_cell_angle_beta 101.17
_cell_angle_gamma 99.52
_symmetry_space_group_name_H-M 'P -1'
_symmetry_Int_Tables_number 2
_symmetry_space_group_name_Hall '-P 1'
loop_
_atom_site_label
_atom_site_type_symbol
_atom_site_fract_x
_atom_site_fract_y
_atom_site_fract_z
_atom_site_occupancy
Cs1 Cs 0.0378 0.3201 0.1629 1
Cs2 Cs 0.3250 0.8710 0.3098 1
Te1 Te 0.3902 0.5808 0.6064 1
H1 H 0.0767 0.3747 0.5400 1
H2 H 0.1621 0.0331 0.6691 1
H3 H 0.1782 0.2707 0.7520 1
H4 H 0.2056 0.8690 0.6086 1
H5 H 0.2309 0.1815 0.8891 1
H6 H 0.3353 0.2575 0.4679 1
H7 H 0.3569 0.5834 0.9612 1
H8 H 0.4041 0.5293 0.1140 1
H9 H 0.4530 0.2225 0.1073 1
H10 H 0.4936 0.1057 0.9865 1
O1 O 0.1222 0.1939 0.8089 1
O2 O 0.1666 0.6761 0.5744 1
O3 O 0.2150 0.3739 0.5967 1
O4 O 0.2401 0.9822 0.6103 1
O5 O 0.3150 0.5877 0.0558 1
O6 O 0.3823 0.5352 0.3932 1
O7 O 0.3900 0.1235 0.0386 1
O8 O 0.4115 0.2289 0.3944 1
O9 O 0.4554 0.6083 0.8113 1

***

3.
# MgSnBr6 | Alexandria via LeMat-Bulk | PBE | optimized geometry
# formation energy from raw total energies	-0.86	eV per atom
# M_tot	0.0	μB per cell
# relative energy among the computed polymorphs	0.00	eV per formula unit
data_MgSnBr6
_chemical_formula_sum 'Mg2 Sn2 Br12'
_cell_length_a 6.7336
_cell_length_b 13.0565
_cell_length_c 6.7291
_cell_angle_alpha 90.00
_cell_angle_beta 110.56
_cell_angle_gamma 90.00
_symmetry_space_group_name_H-M 'C 1 2/m 1'
_symmetry_Int_Tables_number 12
_symmetry_space_group_name_Hall '-C 2y'
loop_
_atom_site_label
_atom_site_type_symbol
_atom_site_fract_x
_atom_site_fract_y
_atom_site_fract_z
_atom_site_occupancy
Mg1 Mg 0.0000 0.0000 0.0000 1
Sn1 Sn 0.0000 0.5000 0.5000 1
Br1 Br 0.2369 0.5000 0.2633 1
Br2 Br 0.2471 0.1415 0.2468 1

***

Q: What is the M_tot in the third record?
A: 0.0 μB per cell